# 1
A plane-wave DFT calculation with PBE-GGA was carried out for a relaxed Ti2AgAs2 crystal.

Geometry as POSCAR:
```
Ti2AgAs2
1.0
7.174 0.000 0.000
0.000 7.174 0.000
0.000 0.000 3.313
Ti Ag As
4 2 4
direct
0.143 0.357 0.000 Ti
0.357 0.857 0.000 Ti
0.643 0.143 0.000 Ti
0.857 0.643 0.000 Ti
0.000 0.000 0.500 Ag
0.500 0.500 0.500 Ag
0.149 0.649 0.500 As
0.351 0.149 0.500 As
0.649 0.851 0.500 As
0.851 0.351 0.500 As
```

Calculated density ... 6.886 g/cm3
Energy above the lowest structure with this stoichiometry ... 0 meV/atom
Crystal system ... tetragonal

=====

# 2
A plane-wave DFT calculation with PBE-GGA was carried out for a relaxed La4BeI5 crystal.

Geometry as POSCAR:
```
La4BeI5
1.0
9.934 -2.140 0.000
9.934 2.140 0.000
-2.029 0.000 9.118
La Be I
4 1 5
direct
0.001 0.001 0.282 La
0.351 0.351 0.424 La
0.649 0.649 0.576 La
0.999 0.999 0.718 La
0.500 0.500 0.500 Be
0.167 0.167 0.843 I
0.173 0.173 0.322 I
0.500 0.500 0.000 I
0.827 0.827 0.678 I
0.833 0.833 0.157 I
```

Raw formation energy ... -1.043 eV per atom
Calculated density ... 5.136 g/cm3
Crystal system ... monoclinic

=====

# 3
A plane-wave DFT calculation with PBE-GGA was carried out for a relaxed Al4Hg5 crystal.

Geometry as POSCAR:
```
Al4Hg5
1.0
-4.558 4.558 2.304
4.558 -4.558 2.304
4.558 4.558 -2.304
Al Hg
4 5
direct
0.000 0.346 0.346 Al
0.000 0.654 0.654 Al
0.346 0.000 0.346 Al
0.654 0.000 0.654 Al
0.000 0.000 0.000 Hg
0.328 0.328 0.655 Hg
0.328 0.672 0.000 Hg
0.672 0.328 0.000 Hg
0.672 0.672 0.345 Hg
```

Calculated density ... 9.636 g/cm3
Energy above the lowest structure with this stoichiometry ... 0 meV/atom
Crystal system ... tetragonal